[1]
! LiScZnSi (PBE, relaxed); values from VASP
&SYSTEM
  ibrav = 0, nat = 16, ntyp = 4
/
ATOMIC_SPECIES
Li 6.94 Li.upf
Sc 44.96 Sc.upf
Zn 65.41 Zn.upf
Si 28.09 Si.upf
CELL_PARAMETERS angstrom
6.240 0.000 0.000
0.000 6.240 0.000
0.000 0.000 6.240
ATOMIC_POSITIONS crystal
Li 0.000 0.000 0.000
Li 0.000 0.500 0.500
Li 0.500 0.000 0.500
Li 0.500 0.500 0.000
Sc 0.250 0.250 0.250
Sc 0.250 0.750 0.750
Sc 0.750 0.250 0.750
Sc 0.750 0.750 0.250
Zn 0.000 0.000 0.500
Zn 0.000 0.500 0.000
Zn 0.500 0.000 0.000
Zn 0.500 0.500 0.500
Si 0.250 0.250 0.750
Si 0.250 0.750 0.250
Si 0.750 0.250 0.250
Si 0.750 0.750 0.750
! E = -3.87 eV per atom
! V = 243.00 Å³ per cell
! Distance to the lowest polymorph of the same formula = 5.18 kcal/mol of atoms
! Symmetry = F-43m
! Magnetization = 0.00 μB/atom

[2]
! SrZrBePd (PBE, relaxed); values from VASP
&SYSTEM
  ibrav = 0, nat = 16, ntyp = 4
/
ATOMIC_SPECIES
Sr 87.62 Sr.upf
Zr 91.22 Zr.upf
Be 9.01 Be.upf
Pd 106.42 Pd.upf
CELL_PARAMETERS angstrom
6.952 0.000 0.000
0.000 6.952 0.000
0.000 0.000 6.952
ATOMIC_POSITIONS crystal
Sr 0.000 0.000 0.000
Sr 0.000 0.500 0.500
Sr 0.500 0.000 0.500
Sr 0.500 0.500 0.000
Zr 0.000 0.000 0.500
Zr 0.000 0.500 0.000
Zr 0.500 0.000 0.000
Zr 0.500 0.500 0.500
Be 0.250 0.250 0.750
Be 0.250 0.750 0.250
Be 0.750 0.250 0.250
Be 0.750 0.750 0.750
Pd 0.250 0.250 0.250
Pd 0.250 0.750 0.750
Pd 0.750 0.250 0.750
Pd 0.750 0.750 0.250
! E = -4.65 eV per atom
! V = 336.01 Å³ per cell
! Distance to the lowest polymorph of the same formula = 0.00 kcal/mol of atoms
! Symmetry = F-43m
! Magnetization = 0.00 μB/atom

[3]
! SiNiPtW (PBE, relaxed); values from VASP
&SYSTEM
  ibrav = 0, nat = 16, ntyp = 4
/
ATOMIC_SPECIES
Si 28.09 Si.upf
Ni 58.69 Ni.upf
Pt 195.08 Pt.upf
W 183.84 W.upf
CELL_PARAMETERS angstrom
6.074 0.000 0.000
0.000 6.074 0.000
0.000 0.000 6.074
ATOMIC_POSITIONS crystal
Si 0.000 0.000 0.000
Si 0.000 0.500 0.500
Si 0.500 0.000 0.500
Si 0.500 0.500 0.000
Ni 0.250 0.250 0.250
Ni 0.250 0.750 0.750
Ni 0.750 0.250 0.750
Ni 0.750 0.750 0.250
Pt 0.000 0.000 0.500
Pt 0.000 0.500 0.000
Pt 0.500 0.000 0.000
Pt 0.500 0.500 0.500
W 0.250 0.250 0.750
W 0.250 0.750 0.250
W 0.750 0.250 0.250
W 0.750 0.750 0.750
! E = -7.55 eV per atom
! V = 224.05 Å³ per cell
! Distance to the lowest polymorph of the same formula = 0.00 kcal/mol of atoms
! Symmetry = F-43m
! Magnetization = 0.00 μB/atom

[4]
! Ga2FeCu5 (PBE, relaxed); values from VASP
&SYSTEM
  ibrav = 0, nat = 8, ntyp = 3
/
ATOMIC_SPECIES
Ga 69.72 Ga.upf
Fe 55.84 Fe.upf
Cu 63.55 Cu.upf
CELL_PARAMETERS angstrom
4.066 0.000 0.000
0.000 4.066 0.000
0.000 0.000 5.908
ATOMIC_POSITIONS crystal
Ga 0.000 0.000 0.000
Ga 0.500 0.500 0.500
Fe 0.000 0.000 0.500
Cu 0.000 0.500 0.250
Cu 0.000 0.500 0.750
Cu 0.500 0.000 0.250
Cu 0.500 0.000 0.750
Cu 0.500 0.500 0.000
! E = -4.13 eV per atom
! V = 97.68 Å³ per cell
! Distance to the lowest polymorph of the same formula = 0.21 kcal/mol of atoms
! Symmetry = P4/mmm
! Magnetization = 0.31 μB/atom

[5]
! SmUSi (PBE, relaxed); values from VASP
&SYSTEM
  ibrav = 0, nat = 12, ntyp = 3
/
ATOMIC_SPECIES
Sm 150.36 Sm.upf
U 238.03 U.upf
Si 28.09 Si.upf
CELL_PARAMETERS angstrom
6.876 0.000 0.000
0.000 6.876 0.000
0.000 0.000 6.876
ATOMIC_POSITIONS crystal
Sm 0.000 0.000 0.000
Sm 0.000 0.500 0.500
Sm 0.500 0.000 0.500
Sm 0.500 0.500 0.000
U 0.000 0.000 0.500
U 0.000 0.500 0.000
U 0.500 0.000 0.000
U 0.500 0.500 0.500
Si 0.250 0.250 0.250
Si 0.250 0.750 0.750
Si 0.750 0.250 0.750
Si 0.750 0.750 0.250
! E = -6.97 eV per atom
! V = 325.08 Å³ per cell
! Distance to the lowest polymorph of the same formula = 0.00 kcal/mol of atoms
! Symmetry = F-43m
! Magnetization = 1.00 μB/atom

[6]
! Ba2PtAuO6 (PBE, relaxed); values from VASP
&SYSTEM
  ibrav = 0, nat = 10, ntyp = 4
/
ATOMIC_SPECIES
Ba 137.33 Ba.upf
Pt 195.08 Pt.upf
Au 196.97 Au.upf
O 16.00 O.upf
CELL_PARAMETERS angstrom
0.000 4.145 4.145
4.145 0.000 4.145
4.145 4.145 0.000
ATOMIC_POSITIONS crystal
Ba 0.250 0.250 0.250
Ba 0.750 0.750 0.750
Pt 0.000 0.000 0.000
Au 0.500 0.500 0.500
O 0.243 0.243 0.757
O 0.243 0.757 0.243
O 0.243 0.757 0.757
O 0.757 0.243 0.243
O 0.757 0.243 0.757
O 0.757 0.757 0.243
! E = -5.45 eV per atom
! V = 142.41 Å³ per cell
! Symmetry = Fm-3m
! Magnetization = 0.14 μB/atom

The highest E belongs to which entry? LiScZnSi